Entry 1:
{"formula": "HfTi5S6", "functional": "PBE", "state": "optimized geometry", "formation_energy_uncorrected_mev_per_atom": -1210, "crystal_system": "monoclinic", "m_tot_mub_per_cell": 0.1, "lattice": [[3.054, -5.372, 0.000], [3.054, 5.372, 0.000], [-2.007, 0.000, 5.761]], "species": ["Hf", "Ti", "Ti", "Ti", "Ti", "Ti", "S", "S", "S", "S", "S", "S"], "frac_coords": [[0.000, 0.000, 0.000], [0.128, 0.872, 0.500], [0.316, 0.684, 0.000], [0.500, 0.500, 0.500], [0.684, 0.316, 0.000], [0.872, 0.128, 0.500], [0.089, 0.435, 0.271], [0.285, 0.285, 0.779], [0.435, 0.089, 0.271], [0.565, 0.911, 0.729], [0.715, 0.715, 0.221], [0.911, 0.565, 0.729]]}



Entry 2:
{"formula": "HfTi2S", "functional": "PBE", "state": "optimized geometry", "formation_energy_uncorrected_mev_per_atom": -672, "crystal_system": "monoclinic", "m_tot_mub_per_cell": 0.0, "lattice": [[4.390, -3.838, 0.000], [4.390, 3.838, 0.000], [-2.847, 0.000, 4.113]], "species": ["Hf", "Hf", "Ti", "Ti", "Ti", "Ti", "S", "S"], "frac_coords": [[0.217, 0.783, 0.750], [0.783, 0.217, 0.250], [0.244, 0.390, 0.066], [0.390, 0.244, 0.566], [0.610, 0.756, 0.434], [0.756, 0.610, 0.934], [0.148, 0.852, 0.250], [0.852, 0.148, 0.750]]}



Entry 3:
{"formula": "HfTi2S3", "functional": "PBE", "state": "optimized geometry", "formation_energy_uncorrected_mev_per_atom": -1219, "crystal_system": "monoclinic", "m_tot_mub_per_cell": 0.0, "lattice": [[5.520, -2.604, 0.000], [5.520, 2.604, 0.000], [-2.197, 0.000, 6.731]], "species": ["Hf", "Hf", "Ti", "Ti", "Ti", "Ti", "S", "S", "S", "S", "S", "S"], "frac_coords": [[0.003, 0.997, 0.750], [0.997, 0.003, 0.250], [0.248, 0.405, 0.419], [0.405, 0.248, 0.919], [0.595, 0.752, 0.081], [0.752, 0.595, 0.581], [0.123, 0.224, 0.083], [0.224, 0.123, 0.583], [0.496, 0.504, 0.250], [0.504, 0.496, 0.750], [0.776, 0.877, 0.417], [0.877, 0.776, 0.917]]}



Entry 4:
{"formula": "HfTiS3", "functional": "PBE", "state": "optimized geometry", "formation_energy_uncorrected_mev_per_atom": -433, "crystal_system": "cubic", "e_above_lowest_polymorph_mev_per_atom": 975, "m_tot_mub_per_cell": 0.8, "lattice": [[4.596, 0.000, 0.000], [0.000, 4.596, 0.000], [0.000, 0.000, 4.596]], "species": ["Hf", "Ti", "S", "S", "S"], "frac_coords": [[0.000, 0.000, 0.000], [0.500, 0.500, 0.500], [0.000, 0.500, 0.500], [0.500, 0.000, 0.500], [0.500, 0.500, 0.000]]}



Entry 5:
{"formula": "HfTi3S2", "functional": "PBE", "state": "optimized geometry", "formation_energy_uncorrected_mev_per_atom": -953, "crystal_system": "monoclinic", "m_tot_mub_per_cell": 0.0, "lattice": [[7.978, -1.698, 0.000], [7.978, 1.698, 0.000], [-2.021, 0.000, 7.015]], "species": ["Hf", "Hf", "Ti", "Ti", "Ti", "Ti", "Ti", "Ti", "S", "S", "S", "S"], "frac_coords": [[0.198, 0.198, 0.327], [0.802, 0.802, 0.673], [0.025, 0.025, 0.755], [0.321, 0.321, 0.036], [0.408, 0.408, 0.476], [0.592, 0.592, 0.524], [0.679, 0.679, 0.964], [0.975, 0.975, 0.245], [0.185, 0.185, 0.726], [0.422, 0.422, 0.830], [0.578, 0.578, 0.170], [0.815, 0.815, 0.274]]}



Entry 6:
{"formula": "HfTiS3", "functional": "PBE", "state": "optimized geometry", "formation_energy_uncorrected_mev_per_atom": -1408, "crystal_system": "orthorhombic", "e_above_lowest_polymorph_mev_per_atom": 0, "m_tot_mub_per_cell": 0.0, "lattice": [[1.807, -9.423, 0.000], [1.807, 9.423, 0.000], [0.000, 0.000, 6.262]], "species": ["Hf", "Hf", "Ti", "Ti", "S", "S", "S", "S", "S", "S"], "frac_coords": [[0.166, 0.834, 0.500], [0.834, 0.166, 0.000], [0.326, 0.674, 0.489], [0.674, 0.326, 0.989], [0.100, 0.900, 0.842], [0.249, 0.751, 0.162], [0.403, 0.597, 0.816], [0.597, 0.403, 0.316], [0.751, 0.249, 0.662], [0.900, 0.100, 0.342]]}



Entry 7:
{"formula": "YHf2TiS", "functional": "PBE", "state": "optimized geometry", "formation_energy_uncorrected_mev_per_atom": -434, "crystal_system": "tetragonal", "m_tot_mub_per_cell": 0.0, "lattice": [[4.904, 0.000, 0.000], [0.000, 4.904, 0.000], [0.000, 0.000, 4.618]], "species": ["Y", "Hf", "Hf", "Ti", "S"], "frac_coords": [[0.000, 0.000, 0.000], [0.000, 0.500, 0.500], [0.500, 0.000, 0.500], [0.500, 0.500, 0.000], [0.500, 0.500, 0.500]]}



Entry 8:
{"formula": "HfZrTiS2", "functional": "PBE", "state": "optimized geometry", "formation_energy_uncorrected_mev_per_atom": 368, "crystal_system": "tetragonal", "m_tot_mub_per_cell": 0.0, "lattice": [[4.817, 0.000, 0.000], [0.000, 4.817, 0.000], [0.000, 0.000, 5.055]], "species": ["Hf", "Zr", "Ti", "S", "S"], "frac_coords": [[0.000, 0.000, 0.000], [0.500, 0.500, 0.500], [0.500, 0.500, 0.000], [0.000, 0.500, 0.500], [0.500, 0.000, 0.500]]}



Entry 9:
{"formula": "Hf3Tl2S6", "functional": "PBE", "state": "optimized geometry", "formation_energy_uncorrected_mev_per_atom": -1276, "crystal_system": "monoclinic", "m_tot_mub_per_cell": 0.0, "lattice": [[3.124, -5.412, 0.000], [3.124, 5.412, 0.000], [-2.092, 0.000, 8.036]], "species": ["Hf", "Hf", "Hf", "Tl", "Tl", "S", "S", "S", "S", "S", "S"], "frac_coords": [[0.000, 0.000, 0.000], [0.332, 0.668, 0.000], [0.668, 0.332, 0.000], [0.166, 0.834, 0.500], [0.834, 0.166, 0.500], [0.062, 0.396, 0.188], [0.270, 0.270, 0.813], [0.396, 0.062, 0.188], [0.604, 0.938, 0.812], [0.730, 0.730, 0.187], [0.938, 0.604, 0.812]]}



Entry 10:
{"formula": "HfTl2S3", "functional": "PBE", "state": "optimized geometry", "formation_energy_uncorrected_mev_per_atom": -969, "crystal_system": "monoclinic", "m_tot_mub_per_cell": 0.0, "lattice": [[7.391, -3.160, 0.000], [7.391, 3.160, 0.000], [-1.806, 0.000, 7.073]], "species": ["Hf", "Hf", "Tl", "Tl", "Tl", "Tl", "S", "S", "S", "S", "S", "S"], "frac_coords": [[0.070, 0.930, 0.750], [0.930, 0.070, 0.250], [0.331, 0.336, 0.917], [0.336, 0.331, 0.417], [0.664, 0.669, 0.583], [0.669, 0.664, 0.083], [0.119, 0.120, 0.560], [0.120, 0.119, 0.060], [0.446, 0.554, 0.750], [0.554, 0.446, 0.250], [0.880, 0.881, 0.940], [0.881, 0.880, 0.440]]}



Entry 11:
{"formula": "Hf2TlS", "functional": "PBE", "state": "optimized geometry", "formation_energy_uncorrected_mev_per_atom": -606, "crystal_system": "trigonal", "e_above_lowest_polymorph_mev_per_atom": 13, "m_tot_mub_per_cell": 0.0, "lattice": [[1.793, 1.035, 7.400], [-1.793, 1.035, 7.400], [0.000, -2.071, 7.400]], "species": ["Hf", "Hf", "Tl", "S"], "frac_coords": [[0.228, 0.228, 0.228], [0.772, 0.772, 0.772], [0.000, 0.000, 0.000], [0.500, 0.500, 0.500]]}



Entry 12:
{"formula": "Hf6TlS12", "functional": "PBE", "state": "optimized geometry", "formation_energy_uncorrected_mev_per_atom": -1174, "crystal_system": "trigonal", "m_tot_mub_per_cell": 0.0, "lattice": [[6.176, 3.565, 3.064], [-6.176, 3.565, 3.064], [0.000, -7.131, 3.064]], "species": ["Hf", "Hf", "Hf", "Hf", "Hf", "Hf", "Tl", "S", "S", "S", "S", "S", "S", "S", "S", "S", "S", "S", "S"], "frac_coords": [[0.253, 0.253, 0.644], [0.253, 0.644, 0.253], [0.356, 0.747, 0.747], [0.644, 0.253, 0.253], [0.747, 0.356, 0.747], [0.747, 0.747, 0.356], [0.000, 0.000, 0.000], [0.125, 0.500, 0.875], [0.125, 0.875, 0.500], [0.171, 0.443, 0.443], [0.443, 0.171, 0.443], [0.443, 0.443, 0.171], [0.500, 0.125, 0.875], [0.500, 0.875, 0.125], [0.557, 0.557, 0.829], [0.557, 0.829, 0.557], [0.829, 0.557, 0.557], [0.875, 0.125, 0.500], [0.875, 0.500, 0.125]]}